The following is a DFT calculation (PBE) of an optimized crystal structure of Tb7Pr16Er6.

abc: 11.372 11.372 11.372
angles: 60.00 60.00 60.00
Element x y z (fractional)
Tb 0.000 0.000 0.000
Tb 0.000 0.000 0.500
Tb 0.500 0.000 0.000
Tb 0.500 0.500 0.000
Tb 0.500 0.000 0.500
Tb 0.000 0.500 0.000
Tb 0.000 0.500 0.500
Pr 0.649 0.053 0.649
Pr 0.875 0.875 0.875
Pr 0.351 0.947 0.351
Pr 0.125 0.125 0.125
Pr 0.649 0.649 0.053
Pr 0.125 0.625 0.125
Pr 0.375 0.875 0.875
Pr 0.947 0.351 0.351
Pr 0.875 0.875 0.375
Pr 0.875 0.375 0.875
Pr 0.125 0.125 0.625
Pr 0.351 0.351 0.947
Pr 0.351 0.351 0.351
Pr 0.625 0.125 0.125
Pr 0.649 0.649 0.649
Pr 0.053 0.649 0.649
Er 0.737 0.263 0.737
Er 0.263 0.263 0.737
Er 0.737 0.263 0.263
Er 0.737 0.737 0.263
Er 0.263 0.737 0.737
Er 0.263 0.737 0.263

## Properties
SG   Fm-3m, No. 225
Mass density   7.0 Mg/m³
DFT formation energy   581 kJ/mol of formula units